1.
Ca2LaTh | PBE | relaxed

electronic total energy	-3.82	eV per atom
space group	R-3m (166)
crystal system	trigonal
Fermi-level density of states	19.20	states/eV/cell

a = 3.551 Å, b = 3.551 Å, c = 40.636 Å
α = 90.00°, β = 90.00°, γ = 120.00°
Atoms (fractional coordinates):
Ca (0.000, 0.000, 0.087)
Ca (0.000, 0.000, 0.913)
Ca (0.333, 0.667, 0.580)
Ca (0.333, 0.667, 0.753)
Ca (0.667, 0.333, 0.247)
Ca (0.667, 0.333, 0.420)
La (0.000, 0.000, 0.500)
La (0.333, 0.667, 0.167)
La (0.667, 0.333, 0.833)
Th (0.000, 0.000, 0.000)
Th (0.333, 0.667, 0.667)
Th (0.667, 0.333, 0.333)

2.
LiTcAs2Se | PBE | relaxed

space group	P4/mmm (123)
crystal system	tetragonal
formation energy without anion corrections	0.170	eV per atom
Fermi-level density of states	5.85	states/eV/cell

a = 4.697 Å, b = 4.697 Å, c = 5.528 Å
α = 90.00°, β = 90.00°, γ = 90.00°
Atoms (fractional coordinates):
Li (0.000, 0.000, 0.000)
Tc (0.500, 0.500, 0.500)
As (0.000, 0.500, 0.500)
As (0.500, 0.000, 0.500)
Se (0.500, 0.500, 0.000)

3.
La4Ag | PBE | relaxed

electronic total energy	-4.61	eV per atom
space group	I4/m (87)
crystal system	tetragonal
Fermi-level density of states	14.91	states/eV/cell

a = 9.307 Å, b = 9.307 Å, c = 3.865 Å
α = 90.00°, β = 90.00°, γ = 90.00°
Atoms (fractional coordinates):
La (0.081, 0.272, 0.000)
La (0.228, 0.581, 0.500)
La (0.272, 0.919, 0.000)
La (0.419, 0.228, 0.500)
La (0.581, 0.772, 0.500)
La (0.728, 0.081, 0.000)
La (0.772, 0.419, 0.500)
La (0.919, 0.728, 0.000)
Ag (0.000, 0.000, 0.500)
Ag (0.500, 0.500, 0.000)

4.
Ca3Hg2N | PBE | relaxed

space group	R-3m (166)
crystal system	trigonal
formation energy without anion corrections	-0.374	eV per atom
Fermi-level density of states	3.54	states/eV/cell

a = 5.347 Å, b = 5.347 Å, c = 5.347 Å
α = 81.42°, β = 81.42°, γ = 81.42°
Atoms (fractional coordinates):
Ca (0.000, 0.500, 0.500)
Ca (0.500, 0.000, 0.500)
Ca (0.500, 0.500, 0.000)
Hg (0.126, 0.126, 0.126)
Hg (0.874, 0.874, 0.874)
N (0.500, 0.500, 0.500)

5.
CeTh4Ge5 | PBE | relaxed

electronic total energy	-6.62	eV per atom
space group	C2/m (12)
crystal system	monoclinic
Fermi-level density of states	5.25	states/eV/cell

a = 7.429 Å, b = 7.429 Å, c = 10.491 Å
α = 118.10°, β = 118.10°, γ = 33.58°
Atoms (fractional coordinates):
Ce (0.000, 0.000, 0.000)
Th (0.199, 0.199, 0.801)
Th (0.399, 0.399, 0.599)
Th (0.601, 0.601, 0.401)
Th (0.801, 0.801, 0.199)
Ge (0.000, 0.000, 0.500)
Ge (0.198, 0.198, 0.296)
Ge (0.403, 0.403, 0.098)
Ge (0.597, 0.597, 0.902)
Ge (0.802, 0.802, 0.704)

6.
AsC2I2 | PBE | relaxed

space group	P4/mbm (127)
crystal system	tetragonal
formation energy without anion corrections	2.119	eV per atom
Fermi-level density of states	4.14	states/eV/cell

a = 7.564 Å, b = 7.564 Å, c = 3.472 Å
α = 90.00°, β = 90.00°, γ = 90.00°
Atoms (fractional coordinates):
As (0.000, 0.000, 0.000)
As (0.500, 0.500, 0.000)
C (0.210, 0.290, 0.000)
C (0.290, 0.790, 0.000)
C (0.710, 0.210, 0.000)
C (0.790, 0.710, 0.000)
I (0.158, 0.658, 0.500)
I (0.342, 0.158, 0.500)
I (0.658, 0.842, 0.500)
I (0.842, 0.342, 0.500)

7.
NaLi2Cd2Bi2 | PBE | relaxed

electronic total energy	-2.41	eV per atom
space group	R-3m (166)
crystal system	trigonal
Fermi-level density of states	1.27	states/eV/cell

a = 9.085 Å, b = 9.085 Å, c = 9.085 Å
α = 31.25°, β = 31.25°, γ = 31.25°
Atoms (fractional coordinates):
Na (0.000, 0.000, 0.000)
Li (0.143, 0.143, 0.143)
Li (0.857, 0.857, 0.857)
Cd (0.444, 0.444, 0.444)
Cd (0.556, 0.556, 0.556)
Bi (0.262, 0.262, 0.262)
Bi (0.738, 0.738, 0.738)

8.
SrLaLuMg | PBE | relaxed

electronic total energy	-3.06	eV per atom
space group	F-43m (216)
crystal system	cubic
Fermi-level density of states	14.51	states/eV/cell

a = 8.205 Å, b = 8.205 Å, c = 8.205 Å
α = 90.00°, β = 90.00°, γ = 90.00°
Atoms (fractional coordinates):
Sr (0.000, 0.000, 0.000)
Sr (0.000, 0.500, 0.500)
Sr (0.500, 0.000, 0.500)
Sr (0.500, 0.500, 0.000)
La (0.000, 0.000, 0.500)
La (0.000, 0.500, 0.000)
La (0.500, 0.000, 0.000)
La (0.500, 0.500, 0.500)
Lu (0.250, 0.250, 0.250)
Lu (0.250, 0.750, 0.750)
Lu (0.750, 0.250, 0.750)
Lu (0.750, 0.750, 0.250)
Mg (0.250, 0.250, 0.750)
Mg (0.250, 0.750, 0.250)
Mg (0.750, 0.250, 0.250)
Mg (0.750, 0.750, 0.750)

9.
MgPd3Br | PBE | relaxed

space group	Pm-3m (221)
crystal system	cubic
formation energy without anion corrections	0.340	eV per atom
Fermi-level density of states	2.62	states/eV/cell

a = 4.784 Å, b = 4.784 Å, c = 4.784 Å
α = 90.00°, β = 90.00°, γ = 90.00°
Atoms (fractional coordinates):
Mg (0.000, 0.000, 0.000)
Pd (0.000, 0.500, 0.500)
Pd (0.500, 0.000, 0.500)
Pd (0.500, 0.500, 0.000)
Br (0.500, 0.500, 0.500)

10.
As2PSeI | PBE | relaxed

space group	P4/mmm (123)
crystal system	tetragonal
formation energy without anion corrections	1.607	eV per atom
Fermi-level density of states	7.17	states/eV/cell

a = 5.405 Å, b = 5.405 Å, c = 5.207 Å
α = 90.00°, β = 90.00°, γ = 90.00°
Atoms (fractional coordinates):
As (0.000, 0.500, 0.000)
As (0.500, 0.000, 0.000)
P (0.000, 0.000, 0.500)
Se (0.500, 0.500, 0.500)
I (0.500, 0.500, 0.000)